No. 1
Material: Ni2IrPtS6
Method: DFT, GGA-PBE
State: relaxed

Unit cell a=7.626 b=7.626 c=6.112 alpha=99.51 beta=99.51 gamma=86.37
Element x y z (fractional)
Ni  0.098  0.273  0.319
Ni  0.273  0.098  0.819
Ni  0.727  0.902  0.181
Ni  0.902  0.727  0.681
Ir  0.409  0.591  0.750
Ir  0.591  0.409  0.250
Pt  0.235  0.765  0.250
Pt  0.765  0.235  0.750
S  0.044  0.198  0.618
S  0.135  0.611  0.873
S  0.198  0.044  0.118
S  0.303  0.475  0.371
S  0.389  0.865  0.627
S  0.475  0.303  0.871
S  0.525  0.697  0.129
S  0.611  0.135  0.373
S  0.697  0.525  0.629
S  0.802  0.956  0.882
S  0.865  0.389  0.127
S  0.956  0.802  0.382

## Properties
ρ (Mg/m³): 6.70
E (eV per cell): -108.2
Formation energy without anion corrections (eV per atom): -0.29

No. 2
Material: SrCdCo2Ge
Method: DFT, GGA-PBE
State: relaxed

Unit cell a=4.829 b=4.829 c=5.790 alpha=90.00 beta=90.00 gamma=90.00
Element x y z (fractional)
Sr  0.000  0.000  0.000
Cd  0.000  0.000  0.500
Co  0.000  0.500  0.000
Co  0.500  0.000  0.000
Ge  0.500  0.500  0.500

## Properties
Formation energy (eV/atom): 1.8190
ρ (Mg/m³): 4.80
E (eV per cell): -12.3